A plane-wave DFT calculation with PBE was carried out for an optimized crystal structure of Tb2Pm5Si4.

a b c (Å): 3.7076 7.4464 12.5899
angles (deg): 116.34 98.47 90.00
Atoms (fractional coordinates):
Si 0.9767 0.6280 0.9535
Tb 0.2789 0.2253 0.5577
Si 0.0233 0.3720 0.0465
Si 0.4089 0.5101 0.8179
Pm 0.8492 0.6717 0.6985
Pm 0.8907 0.1733 0.7813
Si 0.5911 0.4899 0.1821
Pm 0.5000 0.0000 0.0000
Pm 0.1508 0.3283 0.3015
Pm 0.1093 0.8267 0.2187
Tb 0.7211 0.7747 0.4423

Results
The value obtained for the uncorrected formation energy is -252 meV/atom. As for the symmetry: C2/m.



A plane-wave DFT calculation with PBE was carried out for an optimized crystal structure of Sm3ErTh2Se6.

a b c (Å): 4.1512 8.3553 9.3119
angles (deg): 102.93 102.88 90.00
Atoms (fractional coordinates):
Se 0.9993 0.2398 0.9985
Se 0.6623 0.0797 0.3246
Th 0.8306 0.6599 0.6611
Sm 0.1696 0.8333 0.3392
Sm 0.5000 0.5000 0.0000
Se 0.6637 0.5889 0.3274
Sm 0.8304 0.1667 0.6608
Se 0.3377 0.9203 0.6754
Er 0.5000 0.0000 0.0000
Se 0.3363 0.4111 0.6726
Th 0.1694 0.3401 0.3389
Se 0.0007 0.7602 0.0015

Results
The value obtained for the uncorrected formation energy is -1691 meV/atom. As for the symmetry: C2/m.



A plane-wave DFT calculation with PBE was carried out for an optimized crystal structure of Sr3In5Ag6.

a b c (Å): 4.8016 10.3764 14.0877
angles (deg): 90.00 90.00 90.00
Atoms (fractional coordinates):
Sr 0.5000 0.7401 0.1923
Ag 0.0000 0.0664 0.5000
Ag 0.0000 0.4645 0.5000
Ag 0.5000 0.5355 0.0000
In 0.5000 0.0832 0.1765
Ag 0.5000 0.0458 0.6172
Ag 0.0000 0.9542 0.1172
Ag 0.0000 0.9542 0.8828
In 0.5000 0.4919 0.6405
In 0.5000 0.2750 0.5000
In 0.0000 0.5081 0.8595
In 0.0000 0.5081 0.1405
Ag 0.5000 0.3604 0.1607
In 0.0000 0.9168 0.3235
Ag 0.5000 0.3604 0.8393
Ag 0.5000 0.9336 0.0000
Sr 0.0000 0.2599 0.6923
In 0.5000 0.0832 0.8235
Ag 0.0000 0.6396 0.6607
Ag 0.0000 0.6396 0.3393
Sr 0.0000 0.2294 0.0000
Sr 0.0000 0.2599 0.3077
In 0.5000 0.4919 0.3595
Sr 0.5000 0.7706 0.5000
In 0.0000 0.9168 0.6765
Ag 0.5000 0.0458 0.3828
Sr 0.5000 0.7401 0.8077
In 0.0000 0.7250 0.0000

Results
For the formation energy, the calculation gives -0.30 eV per atom. As for the symmetry: Pmmn.



A plane-wave DFT calculation with PBE was carried out for an optimized crystal structure of ZrSc2Cr.

a b c (Å): 4.9075 4.9075 4.9075
angles (deg): 120.74 120.74 88.72
Last column: magnetic moment on the atom in μB.
Atoms (fractional coordinates):
Sc 0.0000 0.0000 0.0000  -0.18
Sc 0.2500 0.7500 0.5000  -0.50
Zr 0.5000 0.5000 0.0000  -0.53
Cr 0.7500 0.2500 0.5000  2.82

Results
For the formation energy, the calculation gives 0.21 eV per atom. As for the symmetry: I-4m2.



| no. | calculated density (Mg/m³) | density of states at the Fermi level (states/eV per cell) |
| --- | --- | --- |
| 1 | 6.2 | 11.54 |
| 2 | 8.4 | 7.20 |
| 3 | 7.0 | 12.78 |
| 4 | 4.7 | 5.27 |